Li6V2OF11: optimized geometry, GGA+U.

abc: 5.1094 5.4975 8.8025
angles: 73.89 89.36 62.63
Fractional coordinates of all 20 atoms:
Li 0.7990 0.3993 0.9443
Li 0.9405 0.1033 0.3058
Li 0.0263 0.9449 0.6666
Li 0.2407 0.5501 0.0706
Li 0.7080 0.5630 0.5878
Li 0.5485 0.9426 0.1851
V 0.2565 0.4636 0.4360
V 0.4916 0.0254 0.8296
O 0.2226 0.2590 0.6160
F 0.2159 0.2655 0.2936
F 0.7166 0.2431 0.7798
F 0.3115 0.7690 0.8649
F 0.2788 0.7436 0.5285
F 0.7780 0.7481 0.0268
F 0.6925 0.2642 0.4652
F 0.2299 0.2327 0.9628
F 0.6668 0.2479 0.1249
F 0.8297 0.7308 0.3856
F 0.7748 0.7589 0.7231
F 0.2777 0.7371 0.2389

Output
- E above lowest polymorph (eV/atom) = 0.000
- magnetic moment (μB per cell) = 3.0
- symmetry = P1 (1)